Compound: TaAsRu2
Source: the Alexandria database
Functional: PBE
Structure: optimized geometry

## Properties
Electronic total energy = -8.87 eV/atom
Energy of formation = -0.10 eV/atom
Crystal system = tetragonal

Structure (CIF):
```
data_TaAsRu2
_chemical_formula_sum 'Ta1 As1 Ru2'
_cell_length_a 5.008
_cell_length_b 5.008
_cell_length_c 5.008
_cell_angle_alpha 135.64
_cell_angle_beta 135.64
_cell_angle_gamma 64.54
_symmetry_space_group_name_H-M 'P 1'
_symmetry_Int_Tables_number 1
_symmetry_space_group_name_Hall 'P 1'
loop_
_atom_site_label
_atom_site_fract_x
_atom_site_fract_y
_atom_site_fract_z
Ru1 0.000 0.000 0.000
Ru2 0.250 0.750 0.500
As1 0.750 0.250 0.500
Ta1 0.500 0.500 0.000
```

***

Compound: Ta3AsRu
Source: the Alexandria database
Functional: PBE
Structure: optimized geometry

## Properties
Electronic total energy = -8.82 eV/atom
Energy of formation = 1.08 eV/atom
Crystal system = cubic

Structure (CIF):
```
data_Ta3AsRu
_chemical_formula_sum 'Ta3 As1 Ru1'
_cell_length_a 4.654
_cell_length_b 4.654
_cell_length_c 4.654
_cell_angle_alpha 90.00
_cell_angle_beta 90.00
_cell_angle_gamma 90.00
_symmetry_space_group_name_H-M 'P 1'
_symmetry_Int_Tables_number 1
_symmetry_space_group_name_Hall 'P 1'
loop_
_atom_site_label
_atom_site_fract_x
_atom_site_fract_y
_atom_site_fract_z
Ru1 0.500 0.500 0.500
As1 0.000 0.000 0.000
Ta1 0.000 0.500 0.000
Ta2 0.000 0.000 0.500
Ta3 0.500 0.000 0.000
```

***

Compound: TaAs3Ru
Source: the Alexandria database
Functional: PBE
Structure: optimized geometry

## Properties
Electronic total energy = -5.99 eV/atom
Energy of formation = 1.02 eV/atom
Crystal system = cubic

Structure (CIF):
```
data_TaAs3Ru
_chemical_formula_sum 'Ta1 As3 Ru1'
_cell_length_a 4.716
_cell_length_b 4.716
_cell_length_c 4.716
_cell_angle_alpha 90.00
_cell_angle_beta 90.00
_cell_angle_gamma 90.00
_symmetry_space_group_name_H-M 'P 1'
_symmetry_Int_Tables_number 1
_symmetry_space_group_name_Hall 'P 1'
loop_
_atom_site_label
_atom_site_fract_x
_atom_site_fract_y
_atom_site_fract_z
Ru1 0.000 0.000 0.000
As1 0.000 0.500 0.000
As2 0.000 0.000 0.500
As3 0.500 0.000 0.000
Ta1 0.500 0.500 0.500
```

***

Compound: TaAsRu2
Source: the Alexandria database
Functional: PBE
Structure: optimized geometry

## Properties
Electronic total energy = -8.94 eV/atom
Energy of formation = -0.17 eV/atom
Crystal system = monoclinic

Structure (CIF):
```
data_TaAsRu2
_chemical_formula_sum 'Ta1 As1 Ru2'
_cell_length_a 4.843
_cell_length_b 4.843
_cell_length_c 4.438
_cell_angle_alpha 75.00
_cell_angle_beta 75.00
_cell_angle_gamma 38.28
_symmetry_space_group_name_H-M 'P 1'
_symmetry_Int_Tables_number 1
_symmetry_space_group_name_Hall 'P 1'
loop_
_atom_site_label
_atom_site_fract_x
_atom_site_fract_y
_atom_site_fract_z
Ru1 0.986 0.986 0.070
Ru2 0.761 0.761 0.686
As1 0.257 0.257 0.190
Ta1 0.496 0.496 0.554
```

***

Which value of electronic total energy does entry 1 give?
-8.87 eV/atom